(1)
# BaSr2Si (PBE, optimized geometry)
# - E_form (uncorrected): -18 kJ/mol of formula units
data_BaSr2Si
_chemical_formula_sum 'Ba3 Sr6 Si3'
_cell_length_a 4.9032
_cell_length_b 4.9032
_cell_length_c 28.9104
_cell_angle_alpha 90.00
_cell_angle_beta 90.00
_cell_angle_gamma 120.00
_space_group_name_H-M_alt 'R -3 m'
_space_group_IT_number 166
_space_group_name_Hall '-R 3 2"'
loop_
_atom_site_label
_atom_site_fract_x
_atom_site_fract_y
_atom_site_fract_z
Ba1 0.0000 0.0000 0.0000
Sr1 0.0000 0.0000 0.2133
Si1 0.0000 0.0000 0.5000



(2)
# Li2Hg3Pd4 (PBE, optimized geometry)
# - DFT formation energy: -249.0 meV/atom
# - Energy above the lowest structure with this stoichiometry: 5.9 kJ/mol of atoms
data_Li2Hg3Pd4
_chemical_formula_sum 'Li8 Hg12 Pd16'
_cell_length_a 12.012
_cell_length_b 10.693
_cell_length_c 5.104
_cell_angle_alpha 90.00
_cell_angle_beta 103.64
_cell_angle_gamma 90.00
_space_group_name_H-M_alt 'C 1 2/c 1'
_space_group_IT_number 15
loop_
_space_group_symop_operation_xyz
'x,y,z'
'-x,-y,-z'
'-x,y,-z+1/2'
'x,-y,z+1/2'
'x+1/2,y+1/2,z'
'-x+1/2,-y+1/2,-z'
'-x+1/2,y+1/2,-z+1/2'
'x+1/2,-y+1/2,z+1/2'
loop_
_atom_site_label
_atom_site_fract_x
_atom_site_fract_y
_atom_site_fract_z
Li1 0.169 0.182 0.066
Hg1 0.000 0.054 0.250
Hg2 0.110 0.301 0.518
Pd1 0.097 0.431 0.981
Pd2 0.208 0.062 0.615